DFT (PBE) results for a geometry-optimized HoZrAgHg structure.

It has space group F-43m (No. 216), with a = 7.1484 Å, b = 7.1484 Å, c = 7.1484 Å, α = 90.00°, β = 90.00° and γ = 90.00°. Symmetry generates all atoms from Ho at (0.0000, 0.0000, 0.0000), Zr at (0.0000, 0.0000, 0.5000), Ag at (0.2500, 0.2500, 0.7500) and Hg at (0.2500, 0.2500, 0.2500).

Its crystal system is cubic. Its total moment is 4.3 μB per cell. The total energy is -68.047 eV/cell. As for the calculated volume: 22.8 A^3/atom.

DFT (PBE) results for a geometry-optimized Ag2HgI6 structure.

It has space group C2/c (No. 15), with a = 13.7129 Å, b = 11.5705 Å, c = 12.6494 Å, α = 90.00°, β = 119.22° and γ = 90.00°. Symmetry generates all atoms from Ag at (0.2154, 0.1208, 0.4627), Hg at (0.0000, 0.4067, 0.2500), I at (0.0647, 0.2864, 0.4740), I at (0.1008, 0.0090, 0.7422) and I at (0.2028, 0.4632, 0.8324).

Its crystal system is monoclinic. Its total moment is 0.0 μB per cell. The total energy is -67.997 eV/cell. As for the calculated volume: 48.7 A^3/atom. The calculation puts the energy above the lowest structure with this stoichiometry at 0 meV/atom.

DFT (PBE) results for a geometry-optimized Ag2HgI structure.

It has space group Fm-3m (No. 225), with a = 7.3561 Å, b = 7.3561 Å, c = 7.3561 Å, α = 90.00°, β = 90.00° and γ = 90.00°. Symmetry generates all atoms from Ag at (0.2500, 0.2500, 0.2500), Hg at (0.0000, 0.0000, 0.0000) and I at (0.0000, 0.0000, 0.5000).

Its crystal system is cubic. Its total moment is 0.0 μB per cell. The total energy is -26.728 eV/cell. As for the calculated volume: 24.9 A^3/atom. The calculation puts the energy above the lowest structure with this stoichiometry at 106 meV/atom.

DFT (PBE) results for a geometry-optimized AgHg2I structure.

It has space group Fm-3m (No. 225), with a = 7.7463 Å, b = 7.7463 Å, c = 7.7463 Å, α = 90.00°, β = 90.00° and γ = 90.00°. Symmetry generates all atoms from Ag at (0.0000, 0.0000, 0.0000), Hg at (0.2500, 0.2500, 0.2500) and I at (0.0000, 0.0000, 0.5000).

Its crystal system is cubic. Its total moment is 0.0 μB per cell. The total energy is -15.337 eV/cell. As for the calculated volume: 29.1 A^3/atom. The calculation puts the energy above the lowest structure with this stoichiometry at 393 meV/atom.

DFT (PBE) results for a geometry-optimized AgHg2I structure.

It has space group P1 (No. 1), with a = 6.0874 Å, b = 6.5082 Å, c = 7.2823 Å, α = 63.53°, β = 88.24° and γ = 86.18°. Symmetry generates all atoms from Ag at (0.0000, 0.0000, 0.0000), Ag at (0.9999, 0.3591, 0.2830), Hg at (0.2500, 0.9731, 0.6580), Hg at (0.2723, 0.4000, 0.8854), Hg at (0.7272, 0.7153, 0.8853), Hg at (0.7497, 0.3682, 0.6591), I at (0.2923, 0.6487, 0.2910) and I at (0.7070, 0.0624, 0.2903).

Its crystal system is triclinic. Its total moment is 0.0 μB per cell. The total energy is -10.704 eV/cell. As for the calculated volume: 32.2 A^3/atom. The calculation puts the energy above the lowest structure with this stoichiometry at 13 meV/atom.

DFT (PBE) results for a geometry-optimized AgHg2I structure.

It has space group C2/c (No. 15), with a = 13.3293 Å, b = 5.8704 Å, c = 9.3778 Å, α = 90.00°, β = 132.58° and γ = 90.00°. Symmetry generates all atoms from Ag at (0.0000, 0.0000, 0.0000), Hg at (0.2308, 0.2870, 0.3184) and I at (0.0000, 0.2586, 0.7500).

Its crystal system is monoclinic. Its total moment is 0.0 μB per cell. The total energy is -21.466 eV/cell. As for the calculated volume: 33.8 A^3/atom. The calculation puts the energy above the lowest structure with this stoichiometry at 10 meV/atom.

DFT (PBE) results for a geometry-optimized Ag5Hg3I12 structure.

It has space group Ia-3d (No. 230), with a = 18.7888 Å, b = 18.7888 Å, c = 18.7888 Å, α = 90.00°, β = 90.00° and γ = 90.00°. Symmetry generates all atoms from Ag at (0.0000, 0.0000, 0.0000), Ag at (0.0000, 0.2500, 0.3750), Hg at (0.0000, 0.2500, 0.1250) and I at (0.0018, 0.0134, 0.3460).

Its crystal system is cubic. Its total moment is 0.0 μB per cell. The total energy is -289.510 eV/cell. As for the calculated volume: 41.5 A^3/atom.

DFT (PBE) results for a geometry-optimized AgHgI3 structure.

It has space group Pm-3m (No. 221), with a = 5.7241 Å, b = 5.7241 Å, c = 5.7241 Å, α = 90.00°, β = 90.00° and γ = 90.00°. Symmetry generates all atoms from Ag at (0.0000, 0.0000, 0.0000), Hg at (0.5000, 0.5000, 0.5000) and I at (0.0000, 0.0000, 0.5000).

Its crystal system is cubic. Its total moment is 0.0 μB per cell. The total energy is -7.213 eV/cell. As for the calculated volume: 37.5 A^3/atom. The calculation puts the energy above the lowest structure with this stoichiometry at 370 meV/atom.